[1]
Material: Nb3Se12I
Method: DFT, meta-GGA SCAN
State: single point on PBEsol structure

a b c (Å): 9.3535 9.3535 19.0791
angles (deg): 90.00 90.00 90.00
Positions (direct):
Nb  0.5000  0.0000  0.7500
Nb  0.0000  0.5000  0.7500
Nb  0.5000  0.0000  0.2500
Nb  0.0000  0.5000  0.2500
Nb  0.0000  0.5000  0.5807
Nb  0.5000  0.0000  0.5807
Nb  0.5000  0.0000  0.9193
Nb  0.0000  0.5000  0.9193
Nb  0.0000  0.5000  0.4193
Nb  0.5000  0.0000  0.4193
Nb  0.5000  0.0000  0.0807
Nb  0.0000  0.5000  0.0807
Se  0.9497  0.2817  0.6713
Se  0.0503  0.7183  0.6713
Se  0.7817  0.4497  0.8287
Se  0.2817  0.0503  0.6713
Se  0.7183  0.9497  0.6713
Se  0.5503  0.7817  0.8287
Se  0.4497  0.2183  0.8287
Se  0.2183  0.5503  0.8287
Se  0.0503  0.7183  0.3287
Se  0.9497  0.2817  0.3287
Se  0.2183  0.5503  0.1713
Se  0.7183  0.9497  0.3287
Se  0.2817  0.0503  0.3287
Se  0.4497  0.2183  0.1713
Se  0.5503  0.7817  0.1713
Se  0.2023  0.6110  0.5000
Se  0.7817  0.4497  0.1713
Se  0.6900  0.1271  0.1608
Se  0.3100  0.8729  0.1608
Se  0.6271  0.1900  0.3392
Se  0.3729  0.8100  0.3392
Se  0.8729  0.6900  0.1608
Se  0.8100  0.6271  0.3392
Se  0.1900  0.3729  0.3392
Se  0.8729  0.6900  0.8392
Se  0.3100  0.8729  0.8392
Se  0.6900  0.1271  0.8392
Se  0.3729  0.8100  0.6608
Se  0.6271  0.1900  0.6608
Se  0.1271  0.3100  0.8392
Se  0.1900  0.3729  0.6608
Se  0.8100  0.6271  0.6608
Se  0.2272  0.4778  0.0000
Se  0.5222  0.2272  0.0000
Se  0.4778  0.7728  0.0000
Se  0.7272  0.0222  0.5000
Se  0.2728  0.9778  0.5000
Se  0.7728  0.5222  0.0000
Se  0.9778  0.7272  0.5000
Se  0.0222  0.2728  0.5000
Se  0.8890  0.2977  0.0000
Se  0.7023  0.8890  0.0000
Se  0.2977  0.1110  0.0000
Se  0.3890  0.2023  0.5000
Se  0.6110  0.7977  0.5000
Se  0.1110  0.7023  0.0000
Se  0.7977  0.3890  0.5000
Se  0.1271  0.3100  0.1608
I  0.5000  0.5000  0.6264
I  0.0000  0.0000  0.8736
I  0.5000  0.5000  0.3736
I  0.0000  0.0000  0.1264

Output
symmetry	No. 128



[2]
Material: NbW2SeI
Method: DFT, meta-GGA SCAN
State: single point on PBEsol structure

a b c (Å): 4.8400 4.8400 4.9689
angles (deg): 90.00 90.00 90.00
Positions (direct):
I  0.0000  0.0000  0.0000
Nb  0.0000  0.0000  0.5000
Se  0.5000  0.5000  0.5000
W  0.0000  0.5000  0.0000
W  0.5000  0.0000  0.0000

Output
symmetry	No. 123



[3]
Material: ZrNb2SnI
Method: DFT, meta-GGA SCAN
State: single point on PBEsol structure

a b c (Å): 4.9668 4.9668 5.1435
angles (deg): 90.00 90.00 90.00
Positions (direct):
I  0.0000  0.0000  0.0000
Nb  0.0000  0.5000  0.0000
Nb  0.5000  0.0000  0.0000
Sn  0.5000  0.5000  0.5000
Zr  0.0000  0.0000  0.5000

Output
symmetry	No. 123



[4]
Material: SrNbI2
Method: DFT, meta-GGA SCAN
State: single point on PBEsol structure

a b c (Å): 5.6132 5.6132 10.0527
angles (deg): 106.21 106.21 90.00
Last column: magnetic moment on the atom in μB.
Positions (direct):
I  0.3328  0.8750  0.2500  0.00
I  0.9172  0.3750  0.2500  0.00
I  0.1250  0.0828  0.7500  0.00
I  0.6250  0.6672  0.7500  0.00
Sr  0.7500  0.2500  0.5000  0.12
Sr  0.5000  0.5000  0.0000  0.12
Nb  0.2500  0.7500  0.5000  2.79
Nb  0.0000  0.0000  0.0000  2.79

Output
symmetry	No. 122



| no. | uncorrected energy (eV per atom) | raw formation energy (eV/f.u.) |
| --- | --- | --- |
| 1 | -24.183 | -9.85 |
| 2 | -43.203 | 13.31 |
| 3 | -32.680 | 6.22 |
| 4 | -32.368 | -0.58 |